1.
LiScSi after structural relaxation. Source: Alexandria via LeMat-Bulk, functional PBE-GGA.

Cell: 7.8850 7.8850 7.8850 Å, 32.93 32.93 32.93°
Closest atoms and distances in Å follow each position.
Sites, in units of the cell vectors:
Sc  0.9834  0.9834  0.9834  4 Si 2.63-2.89
Sc  0.2286  0.2286  0.2286  6 Si 2.74-2.96
Si  0.8542  0.8542  0.8542  4 Li 2.44-2.70
Si  0.6270  0.6270  0.6270  3 Sc 2.63, 1 Li 2.64
Li  0.7453  0.7453  0.7453  2 Si 2.44-2.64
Li  0.4853  0.4853  0.4853  3 Si 2.70

## Properties
Mass density (Mg/m³): 2.1
E_tot (eV/atom): -4.82
ΔE_f (raw) (meV per atom): -262
Space-group type: R3m

***

2.
LiScSi after structural relaxation. Source: Alexandria via LeMat-Bulk, functional PBE-GGA.

Cell: 4.0822 6.6371 11.6243 Å, 90.00 90.00 90.00°
Closest atoms and distances in Å follow each position.
Sites, in units of the cell vectors:
Sc  0.0000  0.2381  0.9620  5 Si 2.85-2.88, 4 Li 3.11-3.18
Sc  0.0000  0.7619  0.0380  5 Si 2.85-2.88, 4 Li 3.11-3.18
Sc  0.0000  0.2381  0.5380  5 Si 2.85-2.88, 4 Li 3.11-3.18
Sc  0.0000  0.7619  0.4620  5 Si 2.85-2.88, 4 Li 3.11-3.18
Sc  0.0000  0.1191  0.2500  5 Si 2.74-2.83, 2 Li 3.07
Sc  0.0000  0.8809  0.7500  5 Si 2.74-2.83, 2 Li 3.07
Si  0.5000  0.0499  0.0973  1 Si 2.36, 2 Li 2.55-2.56
Si  0.5000  0.9501  0.9027  1 Si 2.36, 2 Li 2.55-2.56
Si  0.5000  0.0499  0.4027  1 Si 2.36, 2 Li 2.55-2.56
Si  0.5000  0.9501  0.5973  1 Si 2.36, 2 Li 2.55-2.56
Si  0.0000  0.5456  0.2500  6 Li 2.54-2.58, 1 Sc 2.83
Si  0.0000  0.4544  0.7500  6 Li 2.54-2.58, 1 Sc 2.83
Li  0.5000  0.4317  0.1305  3 Si 2.56-2.58, 2 Li 2.66-2.78
Li  0.5000  0.5683  0.8695  3 Si 2.56-2.58, 2 Li 2.66-2.78
Li  0.5000  0.4317  0.3695  3 Si 2.56-2.58, 2 Li 2.66-2.78
Li  0.5000  0.5683  0.6305  3 Si 2.56-2.58, 2 Li 2.66-2.78
Li  0.5000  0.7732  0.2500  4 Si 2.54-2.55, 2 Li 2.66
Li  0.5000  0.2268  0.7500  4 Si 2.54-2.55, 2 Li 2.66

## Properties
Mass density (Mg/m³): 2.5
E_tot (eV/atom): -5.03
ΔE_f (raw) (meV per atom): -474
Space-group type: Pmma

***

3.
Li2ScSi2 after structural relaxation. Source: Alexandria via LeMat-Bulk, functional PBE-GGA.

Cell: 7.1318 7.1318 3.3001 Å, 90.00 90.00 90.00°
Closest atoms and distances in Å follow each position.
Sites, in units of the cell vectors:
Sc  0.0000  0.0000  0.0000  4 Si 2.85, 8 Li 3.10
Sc  0.5000  0.5000  0.0000  4 Si 2.85, 8 Li 3.10
Si  0.3808  0.8808  0.0000  1 Si 2.40, 2 Li 2.63
Si  0.8808  0.6192  0.0000  1 Si 2.40, 2 Li 2.63
Si  0.6192  0.1192  0.0000  1 Si 2.40, 2 Li 2.63
Si  0.1192  0.3808  0.0000  1 Si 2.40, 2 Li 2.63
Li  0.1772  0.6772  0.5000  6 Si 2.63-2.71
Li  0.6772  0.8228  0.5000  6 Si 2.63-2.71
Li  0.8228  0.3228  0.5000  6 Si 2.63-2.71
Li  0.3228  0.1772  0.5000  6 Si 2.63-2.71

## Properties
Mass density (Mg/m³): 2.3
E_tot (eV/atom): -4.37
Distance to the lowest polymorph of the same formula (meV per atom): 236.8
ΔE_f (raw) (meV per atom): -172
Space-group type: P4/mbm

***

4.
LiScSi after structural relaxation. Source: Alexandria via LeMat-Bulk, functional PBE-GGA.

Cell: 5.9730 3.6545 5.2546 Å, 90.00 76.80 90.00°
Closest atoms and distances in Å follow each position.
Sites, in units of the cell vectors:
Sc  0.2324  0.2500  0.5606  4 Si 2.74-2.91
Sc  0.7676  0.7500  0.4394  4 Si 2.74-2.91
Si  0.0544  0.2500  0.1242  2 Si 2.42, 3 Li 2.51-2.67
Si  0.9456  0.7500  0.8758  2 Si 2.42, 3 Li 2.51-2.67
Li  0.6517  0.2500  0.9831  3 Si 2.51-2.67, 2 Li 2.55
Li  0.3483  0.7500  0.0169  3 Si 2.51-2.67, 2 Li 2.55

## Properties
Mass density (Mg/m³): 2.4
E_tot (eV/atom): -4.88
ΔE_f (raw) (meV per atom): -322
Space-group type: P2_1/m

***

5.
LiSc2Si after structural relaxation. Source: Alexandria via LeMat-Bulk, functional PBE-GGA.

Cell: 4.2717 3.2857 5.6115 Å, 72.99 90.00 90.00°
Closest atoms and distances in Å follow each position.
Sites, in units of the cell vectors:
Li  0.5000  0.5607  0.7542  2 Si 2.56
Sc  0.0000  0.9639  0.9471  4 Li 2.89, 3 Si 2.91-2.95
Sc  0.5000  0.2829  0.3090  4 Si 2.86, 3 Li 2.90-2.98
Si  0.0000  0.6925  0.4897  2 Li 2.56, 4 Sc 2.86

## Properties
Mass density (Mg/m³): 2.8
E_tot (eV/atom): -5.31
ΔE_f (raw) (meV per atom): -310
Space-group type: Amm2

***

6.
LiScSi after structural relaxation. Source: Alexandria via LeMat-Bulk, functional PBE-GGA.

Cell: 5.0791 5.0791 5.4153 Å, 90.00 90.00 90.00°
Closest atoms and distances in Å follow each position.
Sites, in units of the cell vectors:
Sc  0.0000  0.0000  0.5000  4 Si 2.68
Sc  0.5000  0.5000  0.5000  4 Si 2.68
Si  0.0000  0.5000  0.6581  1 Li 2.55, 4 Sc 2.68
Si  0.5000  0.0000  0.3419  1 Li 2.55, 4 Sc 2.68
Li  0.0000  0.5000  0.1295  1 Si 2.55
Li  0.5000  0.0000  0.8705  1 Si 2.55

## Properties
Mass density (Mg/m³): 1.9
E_tot (eV/atom): -4.78
ΔE_f (raw) (meV per atom): -220
Space-group type: P4/nmm

***

7.
LiScSi2 after structural relaxation. Source: Alexandria via LeMat-Bulk, functional PBE-GGA.

Cell: 4.6869 3.0097 4.6871 Å, 90.00 90.00 90.00°
Closest atoms and distances in Å follow each position.
Sites, in units of the cell vectors:
Li  0.0000  0.6250  0.3739  8 Si 2.78-2.79, 2 Li 3.01
Sc  0.5000  0.6250  0.8760  8 Si 2.78-2.79, 2 Sc 3.01
Si  0.0000  0.1250  0.8741  4 Li 2.78-2.79, 4 Sc 2.78-2.79, 2 Si 3.01
Si  0.5000  0.1250  0.3760  4 Sc 2.78-2.79, 4 Li 2.79, 2 Si 3.01

## Properties
Mass density (Mg/m³): 2.7
E_tot (eV/atom): -5.05
Distance to the lowest polymorph of the same formula (meV per atom): 200.4
ΔE_f (raw) (meV per atom): -280
Space-group type: Pmm2

***

8.
LiScSi2 after structural relaxation. Source: Alexandria via LeMat-Bulk, functional PBE-GGA.

Cell: 3.9342 3.9341 3.9813 Å, 90.00 90.00 90.00°
Closest atoms and distances in Å follow each position.
Sites, in units of the cell vectors:
Sc  0.0000  0.5000  0.5000  4 Li 2.78, 8 Si 2.80
Si  0.0000  0.0000  0.0000  4 Si 2.78, 4 Sc 2.80, 4 Li 2.80
Si  0.5000  0.5000  0.0000  4 Si 2.78, 4 Li 2.80, 4 Sc 2.80
Li  0.5000  0.0000  0.5000  4 Sc 2.78, 8 Si 2.80

## Properties
Mass density (Mg/m³): 2.9
E_tot (eV/atom): -5.21
Distance to the lowest polymorph of the same formula (meV per atom): 40.1
ΔE_f (raw) (meV per atom): -440
Space-group type: P4/mmm

***

9.
LiScSi2 after structural relaxation. Source: Alexandria via LeMat-Bulk, functional PBE-GGA.

Cell: 2.8454 3.9288 5.6381 Å, 90.00 90.00 90.00°
Closest atoms and distances in Å follow each position.
Sites, in units of the cell vectors:
Li  0.5000  0.5000  0.2500  8 Si 2.74, 2 Sc 2.82, 2 Li 2.85
Sc  0.5000  0.5000  0.7500  2 Li 2.82, 2 Sc 2.85, 8 Si 2.87
Si  0.0000  0.0000  0.0230  3 Si 2.56-2.85, 4 Li 2.74
Si  0.0000  0.0000  0.4770  3 Si 2.56-2.85, 4 Li 2.74

## Properties
Mass density (Mg/m³): 2.8
E_tot (eV/atom): -5.14
Distance to the lowest polymorph of the same formula (meV per atom): 115.6
ΔE_f (raw) (meV per atom): -365
Space-group type: Pmmm

***

10.
LiScSi after structural relaxation. Source: Alexandria via LeMat-Bulk, functional PBE-GGA.

Cell: 7.1031 7.1031 7.1031 Å, 35.82 35.82 35.82°
Closest atoms and distances in Å follow each position.
Sites, in units of the cell vectors:
Sc  0.1052  0.1052  0.1052  4 Si 2.66-2.87
Sc  0.2623  0.2623  0.2623  3 Si 2.66, 3 Li 2.90
Si  0.8405  0.8405  0.8405  3 Li 2.55, 1 Si 2.61
Si  0.9716  0.9716  0.9716  1 Si 2.61, 4 Sc 2.66, 3 Li 2.68
Li  0.5243  0.5243  0.5243  3 Si 2.55
Li  0.6830  0.6830  0.6830  3 Si 2.68

## Properties
Mass density (Mg/m³): 2.4
E_tot (eV/atom): -4.93
ΔE_f (raw) (meV per atom): -373
Space-group type: R3m

***

11.
Li2SmSc2Si2 after structural relaxation. Source: Alexandria via LeMat-Bulk, functional PBE-GGA.

Cell: 4.3940 4.3940 8.6221 Å, 75.24 75.24 60.00°
Closest atoms and distances in Å follow each position.
Sites, in units of the cell vectors:
Li  0.5828  0.5828  0.2516  3 Si 2.54, 3 Sc 2.80
Li  0.4172  0.4172  0.7484  3 Si 2.54, 3 Sc 2.80
Sm  0.0000  0.0000  0.0000  6 Si 3.21, 2 Sc 3.26, 6 Li 3.28
Sc  0.1319  0.1319  0.6042  3 Li 2.80, 4 Si 2.85-3.01, 3 Sc 3.06
Sc  0.8681  0.8681  0.3958  3 Li 2.80, 4 Si 2.85-3.01, 3 Sc 3.06
Si  0.7463  0.7463  0.7612  3 Li 2.54
Si  0.2537  0.2537  0.2388  3 Li 2.54

## Properties
Mass density (Mg/m³): 3.7
E_tot (eV/atom): -5.02
ΔE_f (raw) (meV per atom): -436
Space-group type: R-3m

***

12.
LiSc2SiSn after structural relaxation. Source: Alexandria via LeMat-Bulk, functional PBE-GGA.

Cell: 5.0585 5.1962 5.0585 Å, 90.00 90.00 90.00°
Closest atoms and distances in Å follow each position.
Sites, in units of the cell vectors:
Sc  0.0000  0.0000  0.5000  2 Si 2.53
Sc  0.5000  0.0000  0.0000  2 Si 2.53
Si  0.0000  0.0000  0.0000  4 Sc 2.53, 2 Sn 2.60
Sn  0.0000  0.5000  0.0000  2 Si 2.60
Li  0.5000  0.5000  0.5000  4 Sn 3.58, 8 Sc 3.63

## Properties
Mass density (Mg/m³): 3.0
E_tot (eV/atom): -4.71
ΔE_f (raw) (meV per atom): 87
Space-group type: P4/mmm